A relaxed Mn2AlRu crystal. Source: Alexandria, functional PBE.

Cell lengths 4.625, 4.625, 4.625 Å; angles 132.81, 132.81, 68.95 degrees
Fractional positions:
1 Mn 0.250 0.750 0.500
2 Mn 0.750 0.250 0.500
3 Al 0.000 0.000 0.000
4 Ru 0.500 0.500 0.000

Calculated values
The calculation puts the total magnetic moment at 1.162 μB per atom. The calculated formation energy is -121 meV/atom.

***

A relaxed Tb4Te3H2 crystal. Source: Alexandria, functional PBE.

Cell lengths 7.110, 7.110, 8.645 Å; angles 117.79, 117.79, 32.67 degrees
Fractional positions:
1 Tb 0.101 0.101 0.407
2 Tb 0.316 0.316 0.893
3 Tb 0.684 0.684 0.107
4 Tb 0.899 0.899 0.593
5 Te 0.000 0.000 0.000
6 Te 0.382 0.382 0.294
7 Te 0.618 0.618 0.706
8 H 0.302 0.302 0.617
9 H 0.698 0.698 0.383

Calculated values
The calculation puts the total magnetic moment at 0.000 μB per atom. The value obtained for the total DFT energy (no corrections) is -43.76 eV for the cell shown.

***

A relaxed CrCdGeN2 crystal. Source: Alexandria, functional PBE.

Cell lengths 3.734, 3.734, 5.252 Å; angles 90.00, 90.00, 90.00 degrees
Fractional positions:
1 Cr 0.000 0.000 0.000
2 Cd 0.500 0.500 0.500
3 Ge 0.000 0.000 0.500
4 N 0.000 0.500 0.000
5 N 0.500 0.000 0.000

Calculated values
The calculation puts the total magnetic moment at 0.000 μB per atom. The energy relative to the elements, uncorrected is 2.99 eV per formula unit.

***

A relaxed Li2Mg8Cd3 crystal. Source: Alexandria, functional PBE.

Cell lengths 7.558, 7.558, 5.837 Å; angles 96.80, 96.80, 64.45 degrees
Fractional positions:
1 Li 0.194 0.194 0.287
2 Li 0.806 0.806 0.713
3 Mg 0.193 0.563 0.566
4 Mg 0.195 0.195 0.797
5 Mg 0.402 0.402 0.108
6 Mg 0.437 0.807 0.434
7 Mg 0.563 0.193 0.566
8 Mg 0.598 0.598 0.892
9 Mg 0.805 0.805 0.203
10 Mg 0.807 0.437 0.434
11 Cd 0.000 0.000 0.500
12 Cd 0.179 0.821 0.000
13 Cd 0.821 0.179 0.000

Calculated values
The calculation puts the total magnetic moment at 0.000 μB per atom. Its energy above the most stable polymorph in this dataset is 0.061 eV per atom. The calculated formation energy is 5 meV/atom.

***

Question: Number 1 is which compound?
Answer: Mn2AlRu